Below is a geometry-optimized GeIr3S structure, with properties calculated at the PBE-GGA level.

Values from the calculation:
**Energy**: -5.50 eV/atom
**E_form (uncorrected)**: 1570 meV per atom
**DOS(E_F)**: 8.49 states/eV/f.u.
**Relative energy among the computed polymorphs**: 722 meV per atom
**SG**: No. 221
**Calculated volume**: 19.328 A^3/atom

Cell lengths 4.5890, 4.5890, 4.5890 Å; angles 90.00, 90.00, 90.00 degrees
Closest atoms and distances in Å follow each position.
Atoms (fractional coordinates):
Ir  0.0000  0.5000  0.0000  2 Ge 2.29
Ir  0.0000  0.0000  0.5000  2 Ge 2.29
Ir  0.5000  0.0000  0.0000  2 Ge 2.29
S  0.5000  0.5000  0.5000  12 Ir 3.24
Ge  0.0000  0.0000  0.0000  6 Ir 2.29

***

Below is a geometry-optimized GeIr2S4 structure, with properties calculated at the PBE-GGA level.

Values from the calculation:
**Energy**: -5.62 eV/atom
**E_form (uncorrected)**: -69 meV per atom
**DOS(E_F)**: 5.54 states/eV/f.u.
**SG**: No. 88
**Calculated volume**: 17.636 A^3/atom

Cell lengths 6.3070, 6.3070, 7.6429 Å; angles 114.37, 114.37, 90.00 degrees
Closest atoms and distances in Å follow each position.
Atoms (fractional coordinates):
S  0.1494  0.6281  0.9213  2 Ir 2.29-2.33, 1 Ge 2.46
S  0.0431  0.3994  0.4213  2 Ir 2.29-2.33, 1 Ge 2.46
S  0.6006  0.6219  0.5787  2 Ir 2.29-2.33, 1 Ge 2.46
S  0.7719  0.2931  0.9213  2 Ir 2.29-2.33, 1 Ge 2.46
S  0.3719  0.2281  0.0787  2 Ir 2.29-2.33, 1 Ge 2.46
S  0.7069  0.8506  0.0787  2 Ir 2.29-2.33, 1 Ge 2.46
S  0.3781  0.0219  0.4213  2 Ir 2.29-2.33, 1 Ge 2.46
S  0.9781  0.9569  0.5787  2 Ir 2.29-2.33, 1 Ge 2.46
Ir  0.3750  0.6250  0.7500  4 S 2.29-2.33
Ir  0.3750  0.6250  0.2500  4 S 2.29-2.33
Ir  0.3750  0.1250  0.7500  4 S 2.29-2.33
Ir  0.8750  0.6250  0.2500  4 S 2.29-2.33
Ge  0.7500  0.2500  0.5000  4 S 2.46
Ge  0.0000  0.0000  0.0000  4 S 2.46

***

Below is a geometry-optimized Ge2IrS structure, with properties calculated at the PBE-GGA level.

Values from the calculation:
**Energy**: -5.52 eV/atom
**E_form (uncorrected)**: 36 meV per atom
**DOS(E_F)**: 2.69 states/eV/f.u.
**SG**: No. 122
**Calculated volume**: 22.362 A^3/atom

Cell lengths 5.7449, 5.7449, 6.7737 Å; angles 64.91, 64.91, 90.00 degrees
Closest atoms and distances in Å follow each position.
Atoms (fractional coordinates):
S  0.2500  0.7500  0.5000  4 Ge 2.52
S  0.5000  0.5000  0.0000  4 Ge 2.52
Ge  0.1032  0.6250  0.2500  2 Ir 2.37, 2 S 2.52
Ge  0.3750  0.3532  0.7500  2 Ir 2.37, 2 S 2.52
Ge  0.6468  0.1250  0.2500  2 Ir 2.37, 2 S 2.52
Ge  0.8750  0.8968  0.7500  2 Ir 2.37, 2 S 2.52
Ir  0.0000  0.0000  0.0000  4 Ge 2.37
Ir  0.7500  0.2500  0.5000  4 Ge 2.37

***

Below is a geometry-optimized GeIrS2 structure, with properties calculated at the PBE-GGA level.

Values from the calculation:
**Energy**: -5.31 eV/atom
**E_form (uncorrected)**: 122 meV per atom
**DOS(E_F)**: 3.02 states/eV/f.u.
**SG**: No. 122
**Calculated volume**: 21.646 A^3/atom

Cell lengths 5.6590, 5.6590, 6.7270 Å; angles 65.13, 65.13, 90.00 degrees
Closest atoms and distances in Å follow each position.
Atoms (fractional coordinates):
S  0.3750  0.3321  0.7500  2 Ir 2.28
S  0.6679  0.1250  0.2500  2 Ir 2.28
S  0.0821  0.6250  0.2500  2 Ir 2.28
S  0.8750  0.9179  0.7500  2 Ir 2.28
Ge  0.5000  0.5000  0.0000  4 S 2.56
Ge  0.2500  0.7500  0.5000  4 S 2.56
Ir  0.7500  0.2500  0.5000  4 S 2.28
Ir  0.0000  0.0000  0.0000  4 S 2.28

***

Below is a geometry-optimized GeIr2S structure, with properties calculated at the PBE-GGA level.

Values from the calculation:
**Energy**: -6.57 eV/atom
**E_form (uncorrected)**: 49 meV per atom
**DOS(E_F)**: 1.69 states/eV/f.u.
**Relative energy among the computed polymorphs**: 0 meV per atom
**SG**: No. 122
**Calculated volume**: 19.546 A^3/atom

Cell lengths 5.2375, 5.2375, 6.7979 Å; angles 67.34, 67.34, 90.00 degrees
Closest atoms and distances in Å follow each position.
Atoms (fractional coordinates):
Ge  0.0000  0.0000  0.0000  4 Ir 2.45
Ge  0.7500  0.2500  0.5000  4 Ir 2.45
Ir  0.8750  0.8397  0.7500  2 S 2.24, 2 Ge 2.45
Ir  0.1603  0.6250  0.2500  2 S 2.24, 2 Ge 2.45
Ir  0.3750  0.4103  0.7500  2 S 2.24, 2 Ge 2.45
Ir  0.5897  0.1250  0.2500  2 S 2.24, 2 Ge 2.45
S  0.5000  0.5000  0.0000  4 Ir 2.24
S  0.2500  0.7500  0.5000  4 Ir 2.24

***

Below is a geometry-optimized GeIr3S structure, with properties calculated at the PBE-GGA level.

Values from the calculation:
**Energy**: -6.22 eV/atom
**E_form (uncorrected)**: 848 meV per atom
**DOS(E_F)**: 7.58 states/eV/f.u.
**Relative energy among the computed polymorphs**: 0 meV per atom
**SG**: No. 221
**Calculated volume**: 17.608 A^3/atom

Cell lengths 4.4486, 4.4486, 4.4486 Å; angles 90.00, 90.00, 90.00 degrees
Closest atoms and distances in Å follow each position.
Atoms (fractional coordinates):
Ir  0.0000  0.0000  0.5000  2 S 2.22
Ir  0.0000  0.5000  0.0000  2 S 2.22
Ir  0.5000  0.0000  0.0000  2 S 2.22
Ge  0.5000  0.5000  0.5000  12 Ir 3.15
S  0.0000  0.0000  0.0000  6 Ir 2.22

***

Below is a geometry-optimized Tb4GeIrS2 structure, with properties calculated at the PBE-GGA level.

Values from the calculation:
**Energy**: -6.39 eV/atom
**E_form (uncorrected)**: -1356 meV per atom
**DOS(E_F)**: 3.75 states/eV/f.u.
**SG**: No. 10
**Calculated volume**: 23.613 A^3/atom

Cell lengths 4.0113, 7.1791, 6.9390 Å; angles 70.97, 90.00, 90.00 degrees
Closest atoms and distances in Å follow each position.
Atoms (fractional coordinates):
Tb  0.5000  0.2543  0.7560  1 Ir 2.82, 3 S 2.86-2.93, 2 Ge 2.87
Tb  0.0000  0.7419  0.7581  2 Ir 2.82, 1 Ge 2.87, 3 S 2.88-2.92
Tb  0.5000  0.7457  0.2440  1 Ir 2.82, 3 S 2.86-2.93, 2 Ge 2.87
Tb  0.0000  0.2581  0.2419  2 Ir 2.82, 1 Ge 2.87, 3 S 2.88-2.92
Ir  0.5000  0.5000  0.0000  6 Tb 2.82
S  0.0000  0.0000  0.0000  6 Tb 2.86-2.88
S  0.5000  0.0000  0.5000  6 Tb 2.92-2.93
Ge  0.0000  0.5000  0.5000  6 Tb 2.87

***

Below is a geometry-optimized Th6Ge2IrS3 structure, with properties calculated at the PBE-GGA level.

Values from the calculation:
**Energy**: -7.57 eV/atom
**E_form (uncorrected)**: -1318 meV per atom
**DOS(E_F)**: 9.38 states/eV/f.u.
**SG**: No. 12
**Calculated volume**: 25.760 A^3/atom

Cell lengths 4.1543, 8.3825, 9.2900 Å; angles 101.10, 102.92, 90.00 degrees
Closest atoms and distances in Å follow each position.
Atoms (fractional coordinates):
Th  0.0012  0.7631  0.0024  2 Ir 2.88, 3 S 2.98-3.03, 1 Ge 2.98
Th  0.6659  0.5879  0.3318  3 S 2.92-2.95, 3 Ge 2.97-2.98
Th  0.3350  0.9202  0.6699  1 Ir 2.93, 3 S 2.93-2.95, 2 Ge 2.98
Th  0.6650  0.0798  0.3301  1 Ir 2.93, 3 S 2.93-2.95, 2 Ge 2.98
Th  0.3341  0.4121  0.6682  3 S 2.92-2.95, 3 Ge 2.97-2.98
Th  0.9988  0.2369  0.9976  2 Ir 2.88, 3 S 2.98-3.03, 1 Ge 2.98
S  0.8311  0.1657  0.6622  6 Th 2.92-2.98
S  0.5000  0.5000  0.0000  6 Th 2.95-3.03
S  0.1689  0.8343  0.3378  6 Th 2.92-2.98
Ge  0.8337  0.6646  0.6674  6 Th 2.97-2.98
Ge  0.1663  0.3354  0.3326  6 Th 2.97-2.98
Ir  0.5000  0.0000  0.0000  6 Th 2.88-2.93

***

What did the fourth record say?
Below is a geometry-optimized GeIrS2 structure, with properties calculated at the PBE-GGA level.

Values from the calculation:
**Energy**: -5.31 eV/atom
**E_form (uncorrected)**: 122 meV per atom
**DOS(E_F)**: 3.02 states/eV/f.u.
**SG**: No. 122
**Calculated volume**: 21.646 A^3/atom

Cell lengths 5.6590, 5.6590, 6.7270 Å; angles 65.13, 65.13, 90.00 degrees
Closest atoms and distances in Å follow each position.
Atoms (fractional coordinates):
S  0.3750  0.3321  0.7500  2 Ir 2.28
S  0.6679  0.1250  0.2500  2 Ir 2.28
S  0.0821  0.6250  0.2500  2 Ir 2.28
S  0.8750  0.9179  0.7500  2 Ir 2.28
Ge  0.5000  0.5000  0.0000  4 S 2.56
Ge  0.2500  0.7500  0.5000  4 S 2.56
Ir  0.7500  0.2500  0.5000  4 S 2.28
Ir  0.0000  0.0000  0.0000  4 S 2.28